NiTe3: relaxed, PBE.

```
NiTe3
1.0
8.185 0.000 0.000
-4.093 7.088 0.000
0.000 0.000 7.066
Ni Te
4 12
direct
0.000 0.000 0.000
0.000 0.000 0.500
0.333 0.667 0.250
0.667 0.333 0.750
0.000 0.500 0.000
0.000 0.500 0.500
0.136 0.271 0.750
0.136 0.864 0.750
0.271 0.136 0.250
0.500 0.000 0.000
0.500 0.000 0.500
0.500 0.500 0.000
0.500 0.500 0.500
0.729 0.864 0.750
0.864 0.136 0.250
0.864 0.729 0.250
```

* M_tot: 0.0 μB/f.u.
* calculated volume: 25.6 A^3/atom
* energy relative to the elements, uncorrected: 184 meV per atom

---

Ni2Te: relaxed, PBE.

```
Ni2Te
1.0
5.999 0.000 0.000
0.000 5.999 0.000
0.000 0.000 5.999
Ni Te
8 4
direct
0.117 0.117 0.117
0.117 0.383 0.617
0.383 0.617 0.117
0.383 0.883 0.617
0.617 0.117 0.383
0.617 0.383 0.883
0.883 0.617 0.383
0.883 0.883 0.883
0.000 0.000 0.500
0.000 0.500 0.000
0.500 0.000 0.000
0.500 0.500 0.500
```

* M_tot: 0.0 μB/f.u.
* calculated volume: 18.0 A^3/atom
* energy relative to the elements, uncorrected: 356 meV per atom

---

Ni5Te: relaxed, PBE.

```
Ni5Te
1.0
4.504 0.000 0.000
-2.252 3.900 0.000
0.000 0.000 4.203
Ni Te
5 1
direct
0.000 0.653 0.000
0.333 0.667 0.500
0.347 0.347 0.000
0.653 0.000 0.000
0.667 0.333 0.500
0.000 0.000 0.500
```

* excess energy over the best structure of this formula in the dataset: 0.000 eV per atom
* M_tot: 0.0 μB/f.u.
* calculated volume: 12.3 A^3/atom
* energy relative to the elements, uncorrected: 16 meV per atom

---

Ni3Te: relaxed, PBE.

```
Ni3Te
1.0
3.757 0.000 0.000
0.000 3.757 0.000
0.000 0.000 3.757
Ni Te
3 1
direct
0.000 0.000 0.500
0.000 0.500 0.000
0.500 0.000 0.000
0.500 0.500 0.500
```

* M_tot: 0.0 μB/f.u.
* calculated volume: 13.3 A^3/atom
* energy relative to the elements, uncorrected: 45 meV per atom

---

NiTe2: relaxed, PBE.

```
NiTe2
1.0
12.749 0.000 0.000
0.000 3.853 0.000
0.000 0.000 6.264
Ni Te
4 8
direct
0.000 0.002 0.250
0.000 0.998 0.750
0.500 0.498 0.750
0.500 0.502 0.250
0.127 0.498 0.750
0.127 0.502 0.250
0.373 0.002 0.250
0.373 0.998 0.750
0.627 0.002 0.250
0.627 0.998 0.750
0.873 0.498 0.750
0.873 0.502 0.250
```

* M_tot: 0.0 μB/f.u.
* calculated volume: 25.6 A^3/atom
* energy relative to the elements, uncorrected: -70 meV per atom

---

Ni4Te3: relaxed, PBE.

```
Ni4Te3
1.0
6.234 0.000 0.000
-3.117 5.399 0.000
0.000 0.000 4.178
Ni Te
4 3
direct
0.000 0.000 0.250
0.000 0.000 0.750
0.333 0.667 0.000
0.667 0.333 0.000
0.000 0.500 0.500
0.500 0.000 0.500
0.500 0.500 0.500
```

* M_tot: 1.5 μB/f.u.
* calculated volume: 20.1 A^3/atom
* energy relative to the elements, uncorrected: 755 meV per atom

---

Ni5Te: relaxed, PBE.

```
Ni5Te
1.0
3.170 0.000 0.000
0.000 3.170 0.000
0.000 0.000 7.684
Ni Te
5 1
direct
0.000 0.000 0.000
0.000 0.000 0.318
0.000 0.000 0.682
0.500 0.500 0.154
0.500 0.500 0.846
0.500 0.500 0.500
```

* excess energy over the best structure of this formula in the dataset: 0.153 eV per atom
* M_tot: 1.2 μB/f.u.
* calculated volume: 12.9 A^3/atom
* energy relative to the elements, uncorrected: 169 meV per atom

---

Ni3Te: relaxed, PBE.

```
Ni3Te
1.0
7.880 0.000 0.000
-3.940 6.824 0.000
0.000 0.000 3.206
Ni Te
9 3
direct
0.000 0.500 0.000
0.167 0.333 0.333
0.167 0.833 0.333
0.333 0.167 0.667
0.500 0.000 0.000
0.500 0.500 0.000
0.667 0.833 0.333
0.833 0.167 0.667
0.833 0.667 0.667
0.000 0.000 0.000
0.333 0.667 0.667
0.667 0.333 0.333
```

* M_tot: 0.0 μB/f.u.
* calculated volume: 14.4 A^3/atom
* energy relative to the elements, uncorrected: 278 meV per atom